Version P
VASP calculation (GGA-PBEsol) on an optimized crystal structure of KCdP2O.

The density of states at the Fermi level comes out at 4.5 states/eV/f.u.

The structure belongs to space group P4/mmm (No. 123); the cell edges are 5.045, 5.045 and 4.352 Å and the angles 90.00°, 90.00° and 90.00°. The inequivalent atoms are K at (0.000, 0.000, 0.000), Cd at (0.500, 0.500, 0.500), P at (0.000, 0.500, 0.500) and O at (0.500, 0.500, 0.000).

=====

Version Q
VASP calculation (GGA-PBEsol) on an optimized crystal structure of KCdP2O.

The density of states at the Fermi level comes out at 3.5 states/eV/f.u.

The structure belongs to space group P4/mmm (No. 123); the cell edges are 5.281, 5.281 and 4.322 Å and the angles 90.00°, 90.00° and 90.00°. The inequivalent atoms are K at (0.000, 0.000, 0.000), Cd at (0.500, 0.500, 0.500), P at (0.000, 0.500, 0.000) and O at (0.000, 0.000, 0.500).

=====

Order of stability, best first: version P, version Q

=====

Version P
VASP calculation (GGA-PBEsol) on an optimized crystal structure of KCd2Pb2.

The density of states at the Fermi level comes out at 1.3 states/eV/f.u.

The structure belongs to space group I4/mmm (No. 139); the cell edges are 4.869, 4.869 and 12.790 Å and the angles 90.00°, 90.00° and 90.00°. The inequivalent atoms are K at (0.000, 0.000, 0.000), Cd at (0.000, 0.500, 0.250) and Pb at (0.000, 0.000, 0.383).

=====

Version Q
VASP calculation (GGA-PBEsol) on an optimized crystal structure of KCd2Pb2.

The density of states at the Fermi level comes out at 2.1 states/eV/f.u.

The structure belongs to space group P4/mbm (No. 127); the cell edges are 9.174, 9.174 and 3.396 Å and the angles 90.00°, 90.00° and 90.00°. The inequivalent atoms are K at (0.000, 0.000, 0.000), Cd at (0.154, 0.346, 0.500) and Pb at (0.139, 0.639, 0.000).

=====

Order of stability, best first: version P, version Q

=====

Version P
VASP calculation (GGA-PBEsol) on an optimized crystal structure of K2Cd2Pb.

The density of states at the Fermi level comes out at 3.7 states/eV/f.u.

The structure belongs to space group I4/mmm (No. 139); the cell edges are 4.763, 4.763 and 14.965 Å and the angles 90.00°, 90.00° and 90.00°. The inequivalent atoms are K at (0.000, 0.500, 0.250), Cd at (0.000, 0.000, 0.090) and Pb at (0.000, 0.000, 0.500).

=====

Version Q
VASP calculation (GGA-PBEsol) on an optimized crystal structure of K2Cd2Pb.

The density of states at the Fermi level comes out at 2.5 states/eV/f.u.

The structure belongs to space group P4/mbm (No. 127); the cell edges are 7.655, 7.655 and 5.723 Å and the angles 90.00°, 90.00° and 90.00°. The inequivalent atoms are K at (0.182, 0.318, 0.000), Cd at (0.131, 0.631, 0.500) and Pb at (0.000, 0.000, 0.500).

=====

Order of stability, best first: version Q, version P

=====

Version P
VASP calculation (GGA-PBEsol) on an optimized crystal structure of KCd2Pt2.

The density of states at the Fermi level comes out at 1.3 states/eV/f.u.

The structure belongs to space group I4/mmm (No. 139); the cell edges are 4.491, 4.491 and 11.217 Å and the angles 90.00°, 90.00° and 90.00°. The inequivalent atoms are K at (0.000, 0.000, 0.000), Cd at (0.000, 0.500, 0.250) and Pt at (0.000, 0.000, 0.388).

=====

Version Q
VASP calculation (GGA-PBEsol) on an optimized crystal structure of KCd2Pt2.

The density of states at the Fermi level comes out at 1.3 states/eV/f.u.

The structure belongs to space group P4/mbm (No. 127); the cell edges are 8.202, 8.202 and 2.916 Å and the angles 90.00°, 90.00° and 90.00°. The inequivalent atoms are K at (0.000, 0.000, 0.000), Cd at (0.166, 0.334, 0.500) and Pt at (0.128, 0.628, 0.000).

=====

Order of stability, best first: version Q, version P